[1]
NbCuGe | PBE-GGA | relaxed

```
6
Lattice="-1.821 -1.297 2.868 -0.105 -3.286 -1.553 5.924 -1.621 3.030" Properties=species:S:1:pos:R:3 pbc="T T T"
Nb 3.705 -2.671 1.145
Cu 0.000 0.000 0.000
Ge 3.563 -1.873 3.722
Nb 1.256 -1.241 2.542
Cu -0.963 -2.291 0.657
Ge 1.398 -2.040 -0.035
```

Computed properties:
Energy of formation ... -0.93 eV/f.u.
ρ ... 8.40 g/cm3
Calculated volume ... 91 Å³ per cell
Symmetry ... No. 129

[2]
NbCuGe | PBE-GGA | relaxed

```
12
Lattice="-3.545 -2.835 -4.450 2.819 0.401 -2.501 6.085 -4.100 6.200" Properties=species:S:1:pos:R:3 pbc="T T T"
Nb 4.676 -5.463 1.522
Nb 2.316 -3.321 2.077
Ge -1.539 -2.687 -2.166
Cu 0.614 -0.858 0.555
Cu 0.293 -3.826 -3.155
Cu 5.066 -2.707 2.404
Ge 2.447 -1.998 -0.435
Nb 0.224 -3.614 -0.327
Ge 2.913 -4.536 -0.317
Nb 0.683 -1.071 -2.274
Cu 1.926 -6.077 1.195
Ge 4.079 -4.248 3.916
```

Computed properties:
Energy of formation ... -0.67 eV/f.u.
ρ ... 8.34 g/cm3
Calculated volume ... 183 Å³ per cell
Symmetry ... No. 12

[3]
NbCu3Ge | PBE-GGA | relaxed

```
5
Lattice="-3.328 -1.288 -3.175 3.411 -1.664 -2.900 -0.324 -4.288 2.079" Properties=species:S:1:pos:R:3 pbc="T T T"
Ge -0.121 -3.620 -1.998
Cu 1.705 -0.832 -1.450
Nb 0.000 0.000 0.000
Cu -1.664 -0.644 -1.587
Cu -0.162 -2.144 1.039
```

Computed properties:
Energy of formation ... 7.44 eV/f.u.
ρ ... 5.43 g/cm3
Distance to the lowest polymorph of the same formula ... 0.693 eV per atom
Calculated volume ... 109 Å³ per cell
Symmetry ... No. 221

[4]
NbCu2Ge2 | PBE-GGA | relaxed

```
10
Lattice="-3.019 -6.356 1.522 3.361 -2.947 -5.643 2.267 -0.670 1.700" Properties=species:S:1:pos:R:3 pbc="T T T"
Nb 0.171 -4.652 -2.061
Ge -0.331 -7.292 -2.431
Cu 0.503 -3.043 0.623
Ge 0.673 -2.012 -1.691
Ge -1.455 -4.647 0.110
Cu 2.861 -3.091 -2.540
Cu 2.105 -6.930 -3.045
Ge 1.797 -4.657 -4.232
Cu -0.252 -6.882 0.118
Nb 0.000 0.000 0.000
```

Computed properties:
Energy of formation ... 0.04 eV/f.u.
ρ ... 8.04 g/cm3
Calculated volume ... 151 Å³ per cell
Symmetry ... No. 127

| no. | density of states at the Fermi level (states/eV per cell) |
| --- | --- |
| 1 | 1.87 |
| 2 | 3.19 |
| 3 | 6.24 |
| 4 | 4.58 |